DFT (PBE) results for a relaxed structure of KTl3In2Br6.

a = 8.2009 Å, b = 14.2824 Å, c = 8.2144 Å
α = 90.00°, β = 109.62°, γ = 90.00°
With the nearest neighbours (Å) after each atom.
Space group C2/m (No. 12)
Asymmetric unit:
1 K 0.0000 0.0000 0.0000 x2  6 Br 3.33
2 Tl 0.0000 0.1661 0.5000 x4  6 Br 3.36-3.39
3 Tl 0.0000 0.5000 0.5000 x2  6 Br 3.37-3.38
4 In 0.0000 0.3330 0.0000 x4  6 Br 3.34-3.35
5 Br 0.2476 0.1660 0.2453 x8  1 K 3.33, 2 In 3.34, 3 Tl 3.37-3.39
6 Br 0.2491 0.0000 0.7526 x4  1 K 3.33, 2 In 3.35, 3 Tl 3.36-3.38

Computed properties:
DFT total energy: -34.986 eV per formula unit
DOS at the Fermi energy: 0.000 states/eV/atom
E_form (uncorrected): -11.28 eV/f.u.

***

DFT (PBE) results for a relaxed structure of K2TlInBr5.

a = 5.1036 Å, b = 19.6624 Å, c = 13.3355 Å
α = 90.00°, β = 90.00°, γ = 90.00°
With the nearest neighbours (Å) after each atom.
Space group Cmc2_1 (No. 36)
Asymmetric unit:
1 K 0.0000 0.1158 0.0000 x4  6 Br 3.32-3.69
2 K 0.0000 0.1439 0.6299 x4  7 Br 3.43-3.79
3 Tl 0.0000 0.2141 0.3368 x4  6 Br 3.17-3.54
4 In 0.0000 0.4688 0.7614 x4  4 Br 2.70-2.88
5 Br 0.0000 0.0342 0.3333 x4  2 In 2.73
6 Br 0.0000 0.2844 0.9947 x4  2 Tl 3.31, 3 K 3.32-3.43
7 Br 0.0000 0.3343 0.6754 x4  1 In 2.88
8 Br 0.0000 0.3748 0.3157 x4  1 In 3.16, 1 Tl 3.17
9 Br 0.0000 0.4847 0.0711 x4  1 In 2.70

Computed properties:
DFT total energy: -26.241 eV per formula unit
DOS at the Fermi energy: 0.122 states/eV/atom
E_form (uncorrected): -10.58 eV/f.u.